No. 1
A plane-wave DFT calculation with PBE was carried out for crystalline OsRuAu2 at its relaxed geometry.

The relative energy among the computed polymorphs is 543 meV per atom.

abc: 4.511 4.511 4.511
angles: 60.00 60.00 60.00
Each line ends with the local moment (μB).
Positions (direct):
Au 0.000 0.000 0.000  0.02
Au 0.250 0.250 0.250  0.01
Os 0.500 0.500 0.500  0.44
Ru 0.750 0.750 0.750  0.18

***

No. 2
A plane-wave DFT calculation with PBE was carried out for crystalline OsRuAu at its relaxed geometry.

The relative energy among the computed polymorphs is 313 meV per atom.

abc: 7.641 7.400 2.742
angles: 84.51 74.57 20.93
Each line ends with the local moment (μB).
Positions (direct):
Au 0.001 0.001 0.999  0.02
Ru 0.676 0.676 0.324  0.66
Os 0.323 0.323 0.677  0.41

***

No. 3
A plane-wave DFT calculation with PBE was carried out for crystalline OsRuAu2 at its relaxed geometry.

The relative energy among the computed polymorphs is 222 meV per atom.

abc: 2.765 2.765 9.922
angles: 90.00 90.00 119.37
Each line ends with the local moment (μB).
Positions (direct):
Os 0.000 0.000 0.518  0.32
Ru 0.500 0.500 0.733  0.43
Au 0.000 0.000 0.990  0.00
Au 0.500 0.500 0.259  -0.01

***

No. 4
A plane-wave DFT calculation with PBE was carried out for crystalline OsRuAu2 at its relaxed geometry.

The relative energy among the computed polymorphs is 237 meV per atom.

abc: 4.842 4.842 4.962
angles: 80.71 80.71 33.81
Positions (direct):
Ru 0.758 0.758 0.717
Os 0.493 0.493 0.532
Au 0.003 0.003 0.008
Au 0.247 0.247 0.243

***

No. 5
A plane-wave DFT calculation with PBE was carried out for crystalline OsRuAu2 at its relaxed geometry.

The relative energy among the computed polymorphs is 461 meV per atom.

abc: 4.894 4.894 4.894
angles: 132.01 132.01 70.21
Positions (direct):
Au 0.500 0.500 0.000
Au 0.000 0.000 0.000
Os 0.250 0.750 0.500
Ru 0.750 0.250 0.500

***

No. 6
A plane-wave DFT calculation with PBE was carried out for crystalline OsRuAu2 at its relaxed geometry.

The relative energy among the computed polymorphs is 330 meV per atom.

abc: 4.889 4.889 4.889
angles: 132.09 132.09 70.09
Positions (direct):
Ru 0.750 0.250 0.500
Os 0.500 0.500 0.000
Au 0.250 0.750 0.500
Au 0.000 0.000 0.000

***

No. 7
A plane-wave DFT calculation with PBE was carried out for crystalline OsRuAu2 at its relaxed geometry.

The relative energy among the computed polymorphs is 453 meV per atom.

abc: 2.764 2.764 9.841
angles: 90.00 90.00 119.60
Each line ends with the local moment (μB).
Positions (direct):
Ru 0.500 0.500 0.750  0.98
Au 0.000 0.000 0.998  0.04
Au 0.000 0.000 0.502  0.04
Os 0.500 0.500 0.250  0.21

***

No. 8
A plane-wave DFT calculation with PBE was carried out for crystalline OsRuAu2 at its relaxed geometry.

The relative energy among the computed polymorphs is 328 meV per atom.

abc: 9.452 9.452 9.452
angles: 17.08 17.08 17.08
Each line ends with the local moment (μB).
Positions (direct):
Au 0.500 0.500 0.500  0.01
Au 0.000 0.000 0.000  0.01
Os 0.250 0.250 0.250  -0.07
Ru 0.750 0.750 0.750  0.35

***

No. 9
A plane-wave DFT calculation with PBE was carried out for crystalline Os4RuAu at its relaxed geometry.

Its total DFT energy (no corrections) is -0.3184 hartree per atom.

abc: 5.141 5.141 5.141
angles: 60.00 60.00 60.00
Each line ends with the local moment (μB).
Positions (direct):
Ru 0.750 0.750 0.750  0.83
Os 0.375 0.375 0.874  0.22
Os 0.375 0.375 0.375  0.22
Os 0.375 0.874 0.375  0.22
Os 0.874 0.375 0.375  0.22
Au 0.000 0.000 0.000  0.03

***

No. 10
A plane-wave DFT calculation with PBE was carried out for crystalline OsRu2AuS at its relaxed geometry.

For the formation energy (no corrections), the calculation gives 2593 meV per atom.

abc: 4.931 4.926 4.931
angles: 90.00 90.00 90.00
Each line ends with the local moment (μB).
Positions (direct):
Au 0.000 0.000 0.000  0.28
S 0.500 0.500 0.500  0.20
Ru 0.000 0.000 0.500  2.61
Ru 0.500 0.000 0.000  2.04
Os 0.000 0.500 0.000  2.37

***

No. 11
A plane-wave DFT calculation with PBE was carried out for crystalline OsRu2AuSe at its relaxed geometry.

For the formation energy (no corrections), the calculation gives 1271 meV per atom.

abc: 4.526 4.541 4.526
angles: 90.00 90.00 90.00
Each line ends with the local moment (μB).
Positions (direct):
Ru 0.500 0.000 0.000  1.01
Ru 0.000 0.000 0.500  0.87
Os 0.000 0.500 0.000  0.74
Au 0.500 0.500 0.500  0.10
Se 0.000 0.000 0.000  -0.04

***

No. 12
A plane-wave DFT calculation with PBE was carried out for crystalline YOsRu2Au at its relaxed geometry.

Its total DFT energy (no corrections) is -0.2034 hartree per atom.

abc: 4.773 5.075 4.773
angles: 90.00 90.00 90.00
Each line ends with the local moment (μB).
Positions (direct):
Ru 0.000 0.000 0.500  1.03
Ru 0.500 0.000 0.000  1.29
Au 0.000 0.500 0.000  0.01
Os 0.500 0.500 0.500  2.48
Y 0.000 0.000 0.000  -0.10